# 1
La2CuRhAu: optimized geometry, PBE-GGA.

Cell lengths 4.364, 7.361, 7.701 Å; angles 107.26, 90.00, 90.00 degrees
Positions (direct):
Cu 0.750 0.451 0.349
Cu 0.250 0.549 0.651
Rh 0.750 0.128 0.098
Rh 0.250 0.872 0.902
La 0.750 0.717 0.055
La 0.250 0.141 0.355
La 0.250 0.283 0.945
La 0.750 0.859 0.645
Au 0.750 0.329 0.659
Au 0.250 0.671 0.341

Values from the calculation:
DOS at the Fermi energy = 7.60 states/eV/cell
energy of formation = -0.60 eV per atom
SG = P2_1/m, No. 11
VASP energy = -5.51 eV per atom

***

# 2
LaCu2RuAu: optimized geometry, PBE-GGA.

Cell lengths 4.709, 5.105, 4.709 Å; angles 90.00, 90.00, 90.00 degrees
Site moments in Bohr magnetons follow the coordinates.
Positions (direct):
Cu 0.000 0.000 0.500  -0.01
Cu 0.500 0.000 0.000  0.01
Au 0.000 0.000 0.000  0.07
La 0.500 0.500 0.500  -0.07
Ru 0.000 0.500 0.000  1.03

Values from the calculation:
DOS at the Fermi energy = 4.69 states/eV/cell
energy of formation = 0.50 eV per atom
SG = P4/mmm, No. 123
VASP energy = -4.63 eV per atom

***

# 3
La2ScCuAu6: optimized geometry, PBE-GGA.

Cell lengths 7.102, 7.102, 7.102 Å; angles 60.00, 60.00, 90.00 degrees
Positions (direct):
Au 0.242 0.242 0.515
Au 0.242 0.242 0.000
Au 0.758 0.758 0.000
Au 0.758 0.242 0.000
Au 0.242 0.758 0.000
Au 0.758 0.758 0.485
La 0.750 0.250 0.500
La 0.250 0.750 0.500
Cu 0.000 0.000 0.000
Sc 0.500 0.500 0.000

Values from the calculation:
DOS at the Fermi energy = 8.39 states/eV/cell
energy of formation = -0.29 eV per atom
SG = Fm-3m, No. 225
VASP energy = -4.28 eV per atom

***

# 4
La2Cu4Si3Au: optimized geometry, PBE-GGA.

Cell lengths 4.257, 4.257, 9.901 Å; angles 90.00, 90.00, 90.00 degrees
Positions (direct):
La 0.500 0.000 0.242
La 0.000 0.500 0.758
Cu 0.500 0.500 0.000
Cu 0.000 0.500 0.362
Cu 0.500 0.000 0.638
Cu 0.000 0.000 0.000
Si 0.000 0.500 0.124
Si 0.500 0.000 0.876
Si 0.000 0.000 0.500
Au 0.500 0.500 0.500

Values from the calculation:
DOS at the Fermi energy = 4.68 states/eV/cell
formation energy (no corrections) = -495 meV per atom
SG = P-4m2, No. 115
VASP energy = -5.07 eV per atom

***

# 5
LaCuSi2Au: optimized geometry, PBE-GGA.

Cell lengths 4.256, 4.256, 5.942 Å; angles 110.99, 110.99, 90.00 degrees
Positions (direct):
Si 0.617 0.617 0.234
Si 0.383 0.383 0.766
La 0.000 0.000 0.000
Au 0.750 0.250 0.500
Cu 0.250 0.750 0.500

Values from the calculation:
DOS at the Fermi energy = 1.29 states/eV/cell
formation energy (no corrections) = -628 meV per atom
SG = I-4m2, No. 119
VASP energy = -5.26 eV per atom

***

# 6
La2CuSnAu6: optimized geometry, PBE-GGA.

Cell lengths 6.937, 7.270, 7.272 Å; angles 44.42, 81.63, 98.97 degrees
Positions (direct):
La 0.739 0.256 0.518
La 0.261 0.744 0.482
Sn 0.500 0.500 0.000
Au 0.276 0.287 0.513
Au 0.724 0.713 0.487
Au 0.727 0.215 0.984
Au 0.273 0.785 0.016
Au 0.071 0.235 0.163
Au 0.929 0.765 0.837
Cu 0.000 0.000 0.000

Values from the calculation:
DOS at the Fermi energy = 5.54 states/eV/cell
energy of formation = -0.46 eV per atom
SG = P-1, No. 2
VASP energy = -4.22 eV per atom

***

# 7
La2Cu3Sn4Au: optimized geometry, PBE-GGA.

Cell lengths 4.568, 4.568, 10.845 Å; angles 90.00, 90.00, 90.00 degrees
Positions (direct):
Au 0.500 0.500 0.500
Cu 0.000 0.000 0.500
Cu 0.500 0.000 0.871
Cu 0.000 0.500 0.129
Sn 0.000 0.500 0.364
Sn 0.000 0.000 0.000
Sn 0.500 0.000 0.636
Sn 0.500 0.500 0.000
La 0.500 0.000 0.255
La 0.000 0.500 0.745

Values from the calculation:
DOS at the Fermi energy = 2.86 states/eV/cell
energy of formation = -0.51 eV per atom
SG = P-4m2, No. 115
VASP energy = -4.65 eV per atom

***

# 8
La2Cu4Sn3Au: optimized geometry, PBE-GGA.

Cell lengths 4.538, 4.538, 10.368 Å; angles 90.00, 90.00, 90.00 degrees
Positions (direct):
La 0.500 0.000 0.244
La 0.000 0.500 0.756
Sn 0.000 0.500 0.129
Sn 0.500 0.000 0.871
Sn 0.000 0.000 0.500
Au 0.500 0.500 0.500
Cu 0.000 0.000 0.000
Cu 0.500 0.500 0.000
Cu 0.000 0.500 0.374
Cu 0.500 0.000 0.626

Values from the calculation:
DOS at the Fermi energy = 4.84 states/eV/cell
energy of formation = -0.46 eV per atom
SG = P-4m2, No. 115
VASP energy = -4.61 eV per atom

***

# 9
La2CuSn4Au3: optimized geometry, PBE-GGA.

Cell lengths 4.624, 4.624, 11.441 Å; angles 90.00, 90.00, 90.00 degrees
Positions (direct):
Au 0.500 0.000 0.857
Au 0.000 0.500 0.143
Au 0.000 0.000 0.500
Sn 0.000 0.500 0.376
Sn 0.500 0.500 0.000
Sn 0.000 0.000 0.000
Sn 0.500 0.000 0.624
La 0.000 0.500 0.730
La 0.500 0.000 0.270
Cu 0.500 0.500 0.500

Values from the calculation:
DOS at the Fermi energy = 3.64 states/eV/cell
energy of formation = -0.58 eV per atom
SG = P-4m2, No. 115
VASP energy = -4.56 eV per atom

***

# 10
LaTaCu2Au: optimized geometry, PBE-GGA.

Cell lengths 4.832, 5.108, 4.832 Å; angles 90.00, 90.00, 90.00 degrees
Positions (direct):
Cu 0.500 0.000 0.000
Cu 0.000 0.000 0.500
Au 0.000 0.500 0.000
Ta 0.000 0.000 0.000
La 0.500 0.500 0.500

Values from the calculation:
DOS at the Fermi energy = 6.84 states/eV/cell
energy of formation = 0.45 eV per atom
SG = P4/mmm, No. 123
VASP energy = -5.20 eV per atom

***

# 11
LaThCuAu: optimized geometry, PBE-GGA.

Cell lengths 5.221, 5.221, 5.221 Å; angles 60.00, 60.00, 60.00 degrees
Positions (direct):
Th 0.000 0.000 0.000
La 0.500 0.500 0.500
Cu 0.750 0.750 0.750
Au 0.250 0.250 0.250

Values from the calculation:
energy above the lowest structure with this stoichiometry = 6.4 kJ/mol of atoms
DOS at the Fermi energy = 4.44 states/eV/cell
energy of formation = -0.34 eV per atom
SG = F-43m, No. 216
VASP energy = -5.27 eV per atom

***

# 12
LaThCuAu: optimized geometry, PBE-GGA.

Cell lengths 3.918, 4.546, 6.085 Å; angles 90.00, 108.78, 90.00 degrees
Positions (direct):
La 0.149 0.000 0.298
Au 0.571 0.500 0.141
Cu 0.421 0.000 0.842
Th 0.859 0.500 0.719

Values from the calculation:
energy above the lowest structure with this stoichiometry = 0.0 kJ/mol of atoms
DOS at the Fermi energy = 4.13 states/eV/cell
energy of formation = -0.40 eV per atom
SG = Amm2, No. 38
VASP energy = -5.33 eV per atom

***

# 13
La2TlCuAu: optimized geometry, PBE-GGA.

Cell lengths 6.060, 5.134, 6.060 Å; angles 90.00, 90.00, 90.00 degrees
Positions (direct):
La 0.500 0.000 0.000
La 0.000 0.000 0.500
Cu 0.500 0.500 0.500
Au 0.000 0.500 0.000
Tl 0.000 0.000 0.000

Values from the calculation:
DOS at the Fermi energy = 8.58 states/eV/cell
energy of formation = 0.54 eV per atom
SG = P4/mmm, No. 123
VASP energy = -3.38 eV per atom

***

# 14
LaYCuAu: optimized geometry, PBE-GGA.

Cell lengths 3.863, 4.617, 5.926 Å; angles 90.00, 109.02, 90.00 degrees
Positions (direct):
Cu 0.423 0.000 0.845
Y 0.137 0.000 0.274
Au 0.580 0.500 0.160
La 0.860 0.500 0.721

Values from the calculation:
DOS at the Fermi energy = 3.01 states/eV/cell
energy of formation = -0.51 eV per atom
SG = Amm2, No. 38
VASP energy = -5.21 eV per atom

***

# 15
La2ZnCuAu6: optimized geometry, PBE-GGA.

Cell lengths 6.920, 6.920, 6.920 Å; angles 60.00, 60.00, 90.00 degrees
Positions (direct):
Au 0.249 0.249 0.000
Au 0.249 0.751 0.000
Au 0.751 0.751 0.000
Au 0.249 0.249 0.503
Au 0.751 0.751 0.497
Au 0.751 0.249 0.000
Cu 0.000 0.000 0.000
Zn 0.500 0.500 0.000
La 0.750 0.250 0.500
La 0.250 0.750 0.500

Values from the calculation:
DOS at the Fermi energy = 4.69 states/eV/cell
energy of formation = -0.32 eV per atom
SG = Fm-3m, No. 225
VASP energy = -3.81 eV per atom

***

# 16
La2Zn3Cu12Au: optimized geometry, PBE-GGA.

Cell lengths 9.738, 9.738, 9.738 Å; angles 37.53, 37.53, 37.53 degrees
Positions (direct):
Zn 0.500 0.000 0.000
Zn 0.000 0.500 0.000
Zn 0.000 0.000 0.500
La 0.350 0.350 0.350
La 0.650 0.650 0.650
Cu 0.804 0.419 0.419
Cu 0.930 0.930 0.363
Cu 0.363 0.930 0.930
Cu 0.070 0.070 0.637
Cu 0.581 0.196 0.581
Cu 0.637 0.070 0.070
Cu 0.581 0.581 0.196
Cu 0.419 0.804 0.419
Cu 0.196 0.581 0.581
Cu 0.419 0.419 0.804
Cu 0.070 0.637 0.070
Cu 0.930 0.363 0.930
Au 0.000 0.000 0.000

Values from the calculation:
DOS at the Fermi energy = 7.40 states/eV/cell
energy of formation = 0.08 eV per atom
SG = R-3m, No. 166
VASP energy = -3.60 eV per atom

***

# 17
La2Zn12Cu3Au: optimized geometry, PBE-GGA.

Cell lengths 10.763, 10.763, 10.763 Å; angles 33.40, 33.40, 33.40 degrees
Positions (direct):
Au 0.000 0.000 0.000
Zn 0.403 0.897 0.897
Zn 0.597 0.103 0.103
Zn 0.897 0.897 0.403
Zn 0.411 0.411 0.818
Zn 0.818 0.411 0.411
Zn 0.589 0.589 0.182
Zn 0.897 0.403 0.897
Zn 0.589 0.182 0.589
Zn 0.182 0.589 0.589
Zn 0.411 0.818 0.411
Zn 0.103 0.103 0.597
Zn 0.103 0.597 0.103
Cu 0.000 0.000 0.500
Cu 0.500 0.000 0.000
Cu 0.000 0.500 0.000
La 0.358 0.358 0.358
La 0.642 0.642 0.642

Values from the calculation:
DOS at the Fermi energy = 11.69 states/eV/cell
energy of formation = -0.05 eV per atom
SG = R-3m, No. 166
VASP energy = -2.31 eV per atom

***

# 18
LaZnCu2Au4: optimized geometry, PBE-GGA.

Cell lengths 4.443, 4.443, 9.280 Å; angles 76.15, 76.15, 60.00 degrees
Positions (direct):
Au 0.130 0.130 0.609
Au 0.401 0.401 0.798
Au 0.870 0.870 0.391
Au 0.599 0.599 0.202
Cu 0.237 0.237 0.290
Cu 0.763 0.763 0.710
La 0.000 0.000 0.000
Zn 0.500 0.500 0.500

Values from the calculation:
DOS at the Fermi energy = 1.89 states/eV/cell
energy of formation = -0.33 eV per atom
SG = R-3m, No. 166
VASP energy = -3.76 eV per atom

***

# 19
La2Zn4CuAu3: optimized geometry, PBE-GGA.

Cell lengths 4.249, 4.249, 11.457 Å; angles 90.00, 90.00, 90.00 degrees
Positions (direct):
Au 0.000 0.000 0.500
Au 0.000 0.500 0.143
Au 0.500 0.000 0.857
Zn 0.500 0.500 0.000
Zn 0.000 0.000 0.000
Zn 0.000 0.500 0.373
Zn 0.500 0.000 0.627
La 0.000 0.500 0.746
La 0.500 0.000 0.254
Cu 0.500 0.500 0.500

Values from the calculation:
DOS at the Fermi energy = 6.02 states/eV/cell
energy of formation = -0.48 eV per atom
SG = P-4m2, No. 115
VASP energy = -3.37 eV per atom

***

# 20
LiCuAu2: optimized geometry, PBE-GGA.

Cell lengths 4.479, 4.479, 4.475 Å; angles 59.97, 59.97, 60.00 degrees
Positions (direct):
Cu 0.500 0.500 0.499
Au 0.250 0.250 0.250
Au 0.000 0.000 0.001
Li 0.750 0.750 0.750

Values from the calculation:
DOS at the Fermi energy = 2.75 states/eV/cell
energy of formation = -0.20 eV per atom
SG = F-43m, No. 216
VASP energy = -3.34 eV per atom

***

# 21
Li3CuAu: optimized geometry, PBE-GGA.

Cell lengths 4.515, 4.515, 4.515 Å; angles 90.00, 90.00, 90.00 degrees
Positions (direct):
Cu 0.000 0.000 0.000
Au 0.500 0.500 0.500
Li 0.500 0.000 0.000
Li 0.000 0.000 0.500
Li 0.000 0.500 0.000

Values from the calculation:
energy above the lowest structure with this stoichiometry = 39.2 kJ/mol of atoms
DOS at the Fermi energy = 2.71 states/eV/cell
energy of formation = 0.13 eV per atom
SG = Pm-3m, No. 221
VASP energy = -2.49 eV per atom

***

# 22
LiCuAu2: optimized geometry, PBE-GGA.

Cell lengths 4.396, 4.396, 3.116 Å; angles 90.00, 90.00, 90.00 degrees
Positions (direct):
Au 0.500 0.500 0.000
Au 0.000 0.000 0.000
Li 0.000 0.500 0.500
Cu 0.500 0.000 0.500

Values from the calculation:
DOS at the Fermi energy = 1.17 states/eV/cell
energy of formation = -0.32 eV per atom
SG = P4/mmm, No. 123
VASP energy = -3.46 eV per atom

***

# 23
LiCu2Au7: optimized geometry, PBE-GGA.

Cell lengths 4.465, 7.373, 7.373 Å; angles 118.96, 90.00, 90.00 degrees
Positions (direct):
Au 0.500 0.075 0.301
Au 0.000 0.796 0.204
Au 0.500 0.301 0.075
Au 0.500 0.699 0.925
Au 0.500 0.925 0.699
Au 0.000 0.204 0.796
Au 0.500 0.500 0.500
Cu 0.500 0.297 0.703
Cu 0.500 0.703 0.297
Li 0.000 0.000 0.000

Values from the calculation:
DOS at the Fermi energy = 2.83 states/eV/cell
energy of formation = 0.09 eV per atom
SG = Cmmm, No. 65
VASP energy = -3.22 eV per atom

***

# 24
Li2CuAu2: optimized geometry, PBE-GGA.

Cell lengths 7.133, 7.133, 2.922 Å; angles 90.00, 90.00, 90.00 degrees
Positions (direct):
Au 0.672 0.828 0.500
Au 0.328 0.172 0.500
Au 0.828 0.328 0.500
Au 0.172 0.672 0.500
Li 0.127 0.373 0.000
Li 0.873 0.627 0.000
Li 0.373 0.873 0.000
Li 0.627 0.127 0.000
Cu 0.000 0.000 0.000
Cu 0.500 0.500 0.000

Values from the calculation:
energy above the lowest structure with this stoichiometry = 11.2 kJ/mol of atoms
DOS at the Fermi energy = 1.79 states/eV/cell
energy of formation = -0.24 eV per atom
SG = P4/mbm, No. 127
VASP energy = -3.14 eV per atom